Compound: Cd2IrBr
Source: the Alexandria database
Functional: PBE-GGA
Structure: optimized geometry

Output
- Offset from the most stable computed form: 239 meV per atom
- E_form (uncorrected): 0.258 eV/atom
- Theoretical density: 9884 kg/m³
- Space-group type: Cm, No. 8
- Calculated volume: 83.49 Å³/cell

a b c (Å): 5.5572 5.5572 4.7339
angles (deg): 92.69 92.69 34.87
Sites, in units of the cell vectors:
1 Cd 0.0000 0.0000 0.0000
2 Cd 0.7103 0.7103 0.6221
3 Ir 0.2576 0.2576 0.1072
4 Br 0.4421 0.4421 0.4816